[1]
The following is a DFT calculation (PBE) of an optimized crystal structure of Ac4NdSe5.

a = 4.4267 Å, b = 4.4267 Å, c = 53.9381 Å
α = 90.00°, β = 90.00°, γ = 120.00°
Space group R-3m (No. 166, hexagonal axes)
One atom of each set of equivalent atoms:
Ac  0.0000  0.0000  0.1025 (multiplicity 6)
Ac  0.0000  0.0000  0.2992 (multiplicity 6)
Nd  0.0000  0.0000  0.5000 (multiplicity 3)
Se  0.0000  0.0000  0.0000 (multiplicity 3)
Se  0.0000  0.0000  0.1969 (multiplicity 6)
Se  0.0000  0.0000  0.4017 (multiplicity 6)

Calculated values
Formation energy (no corrections) (eV per atom): -1.86
D(E_F) (states/eV per cell): 16.3
E_tot (eV/cell): -171.59

[2]
The following is a DFT calculation (PBE) of an optimized crystal structure of AcNd2Se3.

a = 4.3125 Å, b = 6.1113 Å, c = 12.9155 Å
α = 90.00°, β = 90.00°, γ = 90.00°
Space group Immm (No. 71)
One atom of each set of equivalent atoms:
Ac  0.0000  0.0000  0.0000 (multiplicity 2)
Nd  0.0000  0.0000  0.3354 (multiplicity 4)
Se  0.0000  0.5000  0.0000 (multiplicity 2)
Se  0.0000  0.5000  0.3258 (multiplicity 4)

Calculated values
Formation energy (no corrections) (eV per atom): -1.83
D(E_F) (states/eV per cell): 6.4
E_tot (eV/cell): -70.18

[3]
The following is a DFT calculation (PBE) of an optimized crystal structure of AcNdSe2.

a = 5.3102 Å, b = 5.3102 Å, c = 3.7641 Å
α = 90.00°, β = 90.00°, γ = 90.00°
Space group P4/mmm (No. 123)
One atom of each set of equivalent atoms:
Ac  0.0000  0.0000  0.0000 (multiplicity 1)
Nd  0.5000  0.5000  0.0000 (multiplicity 1)
Se  0.0000  0.5000  0.5000 (multiplicity 2)

Calculated values
Formation energy (no corrections) (eV per atom): -1.62
D(E_F) (states/eV per cell): 3.2
E_tot (eV/cell): -22.31

[4]
The following is a DFT calculation (PBE) of an optimized crystal structure of AcNdSe.

a = 4.1684 Å, b = 4.1684 Å, c = 7.0444 Å
α = 90.00°, β = 90.00°, γ = 120.00°
Space group P3m1 (No. 156)
One atom of each set of equivalent atoms:
Ac  0.0000  0.0000  0.0000 (multiplicity 1)
Nd  0.6667  0.3333  0.5459 (multiplicity 1)
Se  0.3333  0.6667  0.2930 (multiplicity 1)

Calculated values
Formation energy (no corrections) (eV per atom): -1.08
D(E_F) (states/eV per cell): 3.4
E_tot (eV/cell): -15.59

[5]
The following is a DFT calculation (PBE) of an optimized crystal structure of AcNd2Se4.

a = 4.2365 Å, b = 13.9919 Å, c = 14.3139 Å
α = 90.00°, β = 90.00°, γ = 90.00°
Space group Cmcm (No. 63)
One atom of each set of equivalent atoms:
Ac  0.0000  0.1213  0.2500 (multiplicity 4)
Nd  0.0000  0.3708  0.0650 (multiplicity 8)
Se  0.0000  0.0000  0.0000 (multiplicity 4)
Se  0.0000  0.2730  0.6210 (multiplicity 8)
Se  0.0000  0.4598  0.2500 (multiplicity 4)

Calculated values
Formation energy (no corrections) (eV per atom): -1.92
D(E_F) (states/eV per cell): 7.8
E_tot (eV/cell): -164.13

[6]
The following is a DFT calculation (PBE) of an optimized crystal structure of Ac2Nd2Se5.

a = 15.1226 Å, b = 5.3775 Å, c = 8.9787 Å
α = 90.00°, β = 126.20°, γ = 90.00°
Space group C2/m (No. 12)
One atom of each set of equivalent atoms:
Ac  0.1154  0.0000  0.4636 (multiplicity 4)
Nd  0.1191  0.5000  0.9251 (multiplicity 4)
Se  0.0000  0.5000  0.5000 (multiplicity 2)
Se  0.1283  0.5000  0.2640 (multiplicity 4)
Se  0.1366  0.0000  0.8345 (multiplicity 4)

Calculated values
Formation energy (no corrections) (eV per atom): -1.82
D(E_F) (states/eV per cell): 7.2
E_tot (eV/cell): -103.12

[7]
The following is a DFT calculation (PBE) of an optimized crystal structure of AcNdSe2.

a = 4.3523 Å, b = 4.3523 Å, c = 21.2464 Å
α = 90.00°, β = 90.00°, γ = 120.00°
Space group R-3m (No. 166, hexagonal axes)
One atom of each set of equivalent atoms:
Ac  0.0000  0.0000  0.0000 (multiplicity 3)
Nd  0.0000  0.0000  0.5000 (multiplicity 3)
Se  0.0000  0.0000  0.2451 (multiplicity 6)

Calculated values
Formation energy (no corrections) (eV per atom): -1.85
D(E_F) (states/eV per cell): 5.4
E_tot (eV/cell): -69.73

[8]
The following is a DFT calculation (PBE) of an optimized crystal structure of AcNdSe2.

a = 7.5129 Å, b = 7.5129 Å, c = 7.5129 Å
α = 90.00°, β = 90.00°, γ = 90.00°
Space group Fm-3m (No. 225)
One atom of each set of equivalent atoms:
Ac  0.0000  0.0000  0.0000 (multiplicity 4)
Nd  0.0000  0.0000  0.5000 (multiplicity 4)
Se  0.2500  0.2500  0.2500 (multiplicity 8)

Calculated values
Formation energy (no corrections) (eV per atom): -1.63
D(E_F) (states/eV per cell): 10.7
E_tot (eV/cell): -89.42